Computed, not measured: a relaxed structure of CrTe2Au at the GGA-PBEsol level of DFT.

a = 4.432 Å, b = 4.888 Å, c = 4.432 Å
α = 90.00°, β = 76.27°, γ = 90.00°
Last column: magnetic moment on the atom in μB.
Fractional coordinates of all 4 atoms:
Te1 0.079 0.000 0.079  -0.07
Te2 0.666 0.500 0.666  -0.13
Au1 0.475 0.000 0.475  0.01
Cr1 0.267 0.500 0.267  3.43

## Properties
ΔE_f (raw): 4.08 kJ per mole of atoms
Fermi-level density of states: 1.61 states/eV/cell
magnetization: 0.8936 μB/atom
energy relative to the lowest polymorph listed for this composition: 36 meV/atom


Computed, not measured: a relaxed structure of CrTe2Au at the GGA-PBEsol level of DFT.

a = 3.644 Å, b = 4.796 Å, c = 4.796 Å
α = 92.53°, β = 90.00°, γ = 90.00°
Last column: magnetic moment on the atom in μB.
Fractional coordinates of all 4 atoms:
Au1 0.500 0.000 0.000  -0.03
Cr1 0.500 0.500 0.500  3.54
Te1 0.000 0.500 0.000  -0.12
Te2 0.000 0.000 0.500  -0.12

## Properties
ΔE_f (raw): 31.58 kJ per mole of atoms
Fermi-level density of states: 2.08 states/eV/cell
magnetization: 0.8750 μB/atom
energy relative to the lowest polymorph listed for this composition: 321 meV/atom


Computed, not measured: a relaxed structure of TlCrAu at the GGA-PBEsol level of DFT.

a = 3.466 Å, b = 3.674 Å, c = 5.089 Å
α = 111.16°, β = 109.91°, γ = 90.00°
Last column: magnetic moment on the atom in μB.
Fractional coordinates of all 3 atoms:
Au1 0.008 0.008 0.017  0.09
Tl1 0.334 0.334 0.668  0.02
Cr1 0.658 0.658 0.315  3.71

## Properties
Fermi-level density of states: 1.31 states/eV/cell
formation enthalpy at 0 K: 389 meV per atom
magnetization: 1.4042 μB/atom


The records above give, respectively, electronic total energy values of -21.05 -19.91 -15.63 eV per cell.